[1]
Here is a relaxed Re2SbAs crystal from the Alexandria database. Energies are from PBE. Values from VASP.

Structure (Quantum ESPRESSO input):
```
&SYSTEM
  ibrav = 0, nat = 8, ntyp = 3
/
ATOMIC_SPECIES
Re 186.21 Re.upf
Sb 121.76 Sb.upf
As 74.92 As.upf
ATOMIC_POSITIONS angstrom
Re 3.192 0.761 -2.140
Re 0.761 1.064 2.140
Re -1.064 1.367 6.420
Re 1.367 1.064 10.700
Sb 2.128 0.000 4.280
Sb 0.000 0.000 8.560
As 0.000 0.000 0.000
As 0.000 2.128 4.280
CELL_PARAMETERS angstrom
-2.128 2.128 8.560
2.128 -2.128 8.560
2.128 2.128 -8.560
```

Calculated values
Spin magnetization   0.0 μB/f.u.
Energy relative to the elements, uncorrected   0.705 eV/atom
E_tot   -7.7115 eV/atom

[2]
Here is a relaxed Re2SbAs crystal from the Alexandria database. Energies are from PBE. Values from VASP.

Structure (Quantum ESPRESSO input):
```
&SYSTEM
  ibrav = 0, nat = 4, ntyp = 3
/
ATOMIC_SPECIES
Re 186.21 Re.upf
Sb 121.76 Sb.upf
As 74.92 As.upf
ATOMIC_POSITIONS angstrom
Re 0.000 0.000 1.949
Re 0.000 0.000 6.513
Sb 1.567 0.000 4.231
As 1.567 0.000 0.000
CELL_PARAMETERS angstrom
1.567 -2.626 0.000
1.567 2.626 0.000
0.000 0.000 8.462
```

Calculated values
Spin magnetization   0.0 μB/f.u.
Energy relative to the elements, uncorrected   0.877 eV/atom
E_tot   -7.5401 eV/atom

[3]
Here is a relaxed ReSb3As crystal from the Alexandria database. Energies are from PBE. Values from VASP.

Structure (Quantum ESPRESSO input):
```
&SYSTEM
  ibrav = 0, nat = 5, ntyp = 3
/
ATOMIC_SPECIES
Re 186.21 Re.upf
Sb 121.76 Sb.upf
As 74.92 As.upf
ATOMIC_POSITIONS angstrom
Re 0.000 0.000 0.000
Sb 0.000 2.616 2.616
Sb 2.616 0.000 2.616
Sb 2.616 2.616 0.000
As 2.616 2.616 2.616
CELL_PARAMETERS angstrom
5.232 0.000 0.000
0.000 5.232 0.000
0.000 0.000 5.232
```

Calculated values
Spin magnetization   2.9 μB/f.u.
Energy relative to the elements, uncorrected   1.602 eV/atom
E_tot   -4.2912 eV/atom

[4]
Here is a relaxed ReSbAs4 crystal from the Alexandria database. Energies are from PBE. Values from VASP.

Structure (Quantum ESPRESSO input):
```
&SYSTEM
  ibrav = 0, nat = 6, ntyp = 3
/
ATOMIC_SPECIES
Re 186.21 Re.upf
Sb 121.76 Sb.upf
As 74.92 As.upf
ATOMIC_POSITIONS angstrom
Re 0.000 0.000 0.000
Sb 5.864 5.864 5.864
As 2.927 2.927 2.927
As 4.892 4.892 2.927
As 4.892 2.927 4.892
As 2.927 4.892 4.892
CELL_PARAMETERS angstrom
0.000 3.909 3.909
3.909 0.000 3.909
3.909 3.909 0.000
```

Calculated values
Spin magnetization   2.1 μB/f.u.
Energy relative to the elements, uncorrected   1.031 eV/atom
E_tot   -4.8300 eV/atom

> Number 4 is which compound?

ReSbAs4

> energy relative to the elements, uncorrected of number 2 (Re2SbAs)?

0.877 eV/atom

> The highest E_tot belongs to which entry?

ReSb3As

> Which value of energy relative to the elements, uncorrected does entry 3 give?

1.602 eV/atom